A relaxed Pd2Pb6Au crystal, computed with GGA-PBE.

Lattice parameters (Å, degrees): 8.5112 8.5112 8.5112 97.56 116.20 115.28
Positions (direct):
Pd 0.5000 0.1310 0.6310
Pd 0.5000 0.8690 0.3690
Pd 0.6738 0.6738 0.0000
Pd 0.3262 0.3262 0.0000
Pb 0.5167 0.8098 0.7069
Pb 0.4833 0.1902 0.2931
Pb 0.1029 0.8098 0.2931
Pb 0.8971 0.1902 0.7069
Pb 0.8023 0.0501 0.2478
Pb 0.1977 0.9499 0.7522
Pb 0.1977 0.4455 0.2478
Pb 0.8023 0.5545 0.7522
Pb 0.6992 0.3358 0.0350
Pb 0.3008 0.6642 0.9650
Pb 0.3008 0.3358 0.6365
Pb 0.6992 0.6642 0.3635
Au 0.0000 0.5000 0.5000
Au 0.0000 0.0000 0.0000

Summary:
* formation energy from the elements: -1.15 eV per formula unit
* spin magnetization: 0.00 μB/atom
* crystal system: orthorhombic
* symmetry: Immm, No. 71